Entry from the Alexandria database: a geometry-optimized Zn2MoO structure (PBE+U).

Summary:
As for the density of states at the Fermi level: 1.941 states/eV per cell. For the total energy, the calculation gives -0.2750 Ry/atom. The calculation puts the size of the total moment at 3.5 μB per formula unit.

Unit cell a=5.612 b=5.612 c=5.612 alpha=99.36 beta=99.36 gamma=132.45
Sites, in units of the cell vectors:
Zn  0.058  0.625  0.933
Zn  0.375  0.308  0.433
Zn  0.692  0.125  0.067
Zn  0.875  0.942  0.567
Mo  0.250  0.750  0.500
Mo  0.500  0.500  0.000
O  0.000  0.000  0.000
O  0.750  0.250  0.500